A geometry-optimized MnSbAsBr2 structure, computed with GGA-PBE.

Summary:
Energy relative to the lowest polymorph listed for this composition: 0.000 eV per atom
Symmetry: No. 123
M_tot: 0.737 μB per atom

```
5
Lattice="-0.370 -4.311 -2.198 -1.846 -1.912 4.060 -4.492 1.150 -1.501" Properties=species:S:1:pos:R:3 pbc="T T T"
Sb -3.354 -2.536 0.181
As -2.246 0.575 -0.751
Mn 0.000 0.000 0.000
Br -0.923 -0.956 2.030
Br -0.185 -2.155 -1.099
```


A geometry-optimized ThTe2Rh structure, computed with GGA-PBE.

Summary:
Energy relative to the lowest polymorph listed for this composition: 0.000 eV per atom
Symmetry: No. 62
M_tot: 0.000 μB per atom

```
16
Lattice="-1.907 -1.235 3.841 -2.235 -7.823 -3.624 9.424 -4.231 3.319" Properties=species:S:1:pos:R:3 pbc="T T T"
Th 2.489 -9.296 2.136
Th -1.275 -6.579 -1.451
Th 2.793 -3.992 1.400
Th 6.557 -6.709 4.987
Te 3.929 -4.870 4.274
Te -0.168 -3.322 0.145
Te 1.353 -8.419 -0.738
Te 5.450 -9.966 3.391
Te 0.686 -6.381 2.178
Te 5.281 -11.628 0.181
Te 4.596 -6.907 1.358
Te 0.002 -1.661 3.356
Rh 0.212 -10.457 0.633
Rh 6.979 -8.102 2.157
Rh 5.070 -2.831 2.903
Rh -1.697 -5.187 1.379
```


no.,calculated density (g/cm3)
1,6.0
2,9.1